Record 1
Here is a geometry-optimized YZrGaF2 structure from the Alexandria database. Energies are from PBE-GGA.

```
YZrGaF2
1.0
4.2408 0.0000 0.0000
0.0000 4.2408 0.0000
0.0000 0.0000 5.6982
Y Zr Ga F
1 1 1 2
Direct
0.0000 0.0000 0.0000
0.5000 0.5000 0.5000
0.5000 0.5000 0.0000
0.0000 0.5000 0.5000
0.5000 0.0000 0.5000
```

Summary:
- Formation energy without anion corrections: -1.74 eV per atom
- VASP energy: -6.097 eV/atom

Record 2
Here is a geometry-optimized ZnGaF4 structure from the Alexandria database. Energies are from PBE-GGA.

```
ZnGaF4
1.0
10.7244 0.0000 0.0000
0.0000 3.2883 0.0000
-2.9727 0.0000 4.8358
Zn Ga F
2 2 8
Direct
0.0000 0.0000 0.0000
0.5000 0.5000 0.0000
0.0000 0.5000 0.5000
0.5000 0.0000 0.5000
0.1060 0.5000 0.9442
0.1067 0.0000 0.4374
0.3933 0.5000 0.5626
0.3940 0.0000 0.0558
0.6060 0.0000 0.9442
0.6067 0.5000 0.4374
0.8933 0.0000 0.5626
0.8940 0.5000 0.0558
```

Summary:
- Formation energy without anion corrections: -2.08 eV per atom
- VASP energy: -4.040 eV/atom

Record 3
Here is a geometry-optimized ZnGa2F8 structure from the Alexandria database. Energies are from PBE-GGA.

```
ZnGa2F8
1.0
3.9887 -3.2619 0.0000
3.9887 3.2619 0.0000
-1.0673 0.0000 4.9747
Zn Ga F
1 2 8
Direct
0.0000 0.0000 0.0000
0.3125 0.3125 0.5451
0.6875 0.6875 0.4549
0.0462 0.6704 0.6832
0.1928 0.1928 0.8197
0.3296 0.9538 0.3168
0.4431 0.4431 0.2651
0.5569 0.5569 0.7349
0.6704 0.0462 0.6832
0.8072 0.8072 0.1803
0.9538 0.3296 0.3168
```

Summary:
- Formation energy without anion corrections: -2.42 eV per atom
- VASP energy: -4.444 eV/atom

Record 4
Here is a geometry-optimized Zn2Ga2F structure from the Alexandria database. Energies are from PBE-GGA.

```
Zn2Ga2F
1.0
7.2923 0.0000 0.0000
0.0000 7.2923 0.0000
0.0000 0.0000 3.2304
Zn Ga F
4 4 2
Direct
0.1865 0.3135 0.0000
0.3135 0.8135 0.0000
0.6865 0.1865 0.0000
0.8135 0.6865 0.0000
0.1229 0.6229 0.5000
0.3771 0.1229 0.5000
0.6229 0.8771 0.5000
0.8771 0.3771 0.5000
0.0000 0.0000 0.0000
0.5000 0.5000 0.0000
```

Summary:
- Formation energy without anion corrections: -0.35 eV per atom
- VASP energy: -2.445 eV/atom
- Relative energy among the computed polymorphs: 0.000 eV per formula unit

Record 5
Here is a geometry-optimized ZnGaF2 structure from the Alexandria database. Energies are from PBE-GGA.

```
ZnGaF2
1.0
6.1344 0.0000 0.0000
0.0000 6.1344 0.0000
0.0000 0.0000 6.1344
Zn Ga F
4 4 8
Direct
0.0000 0.0000 0.0000
0.0000 0.5000 0.5000
0.5000 0.0000 0.5000
0.5000 0.5000 0.0000
0.0000 0.0000 0.5000
0.0000 0.5000 0.0000
0.5000 0.0000 0.0000
0.5000 0.5000 0.5000
0.2500 0.2500 0.2500
0.2500 0.2500 0.7500
0.2500 0.7500 0.2500
0.2500 0.7500 0.7500
0.7500 0.2500 0.2500
0.7500 0.2500 0.7500
0.7500 0.7500 0.2500
0.7500 0.7500 0.7500
```

Summary:
- Formation energy without anion corrections: -1.08 eV per atom
- VASP energy: -3.093 eV/atom
- Relative energy among the computed polymorphs: 1.676 eV per formula unit

Record 6
Here is a geometry-optimized ZnGaF2 structure from the Alexandria database. Energies are from PBE-GGA.

```
ZnGaF2
1.0
5.5515 0.0000 0.0000
0.0000 5.5515 0.0000
0.0000 0.0000 8.7086
Zn Ga F
4 4 8
Direct
0.0000 0.0000 0.0000
0.0000 0.5000 0.2500
0.5000 0.0000 0.7500
0.5000 0.5000 0.5000
0.0000 0.0000 0.5000
0.0000 0.5000 0.7500
0.5000 0.0000 0.2500
0.5000 0.5000 0.0000
0.1628 0.2500 0.1250
0.2500 0.6628 0.3750
0.2500 0.8372 0.8750
0.3372 0.2500 0.6250
0.6628 0.7500 0.6250
0.7500 0.1628 0.8750
0.7500 0.3372 0.3750
0.8372 0.7500 0.1250
```

Summary:
- Formation energy without anion corrections: -1.31 eV per atom
- VASP energy: -3.320 eV/atom
- Relative energy among the computed polymorphs: 0.766 eV per formula unit